The following is a DFT calculation (SCAN) of a PBEsol-optimized structure of Ba2SrHg.

Properties
Total DFT energy (no corrections) ... -42.708 eV/atom
Energy relative to the elements ... -31 kJ/mol of atoms
Space-group type ... No. 44

abc: 4.182 6.242 7.725
angles: 113.83 105.71 90.00
Sites, in units of the cell vectors:
1 Ba 0.998 0.998 0.996
2 Sr 0.192 0.692 0.383
3 Ba 0.806 0.306 0.612
4 Hg 0.504 0.504 0.008

***

The following is a DFT calculation (SCAN) of a PBEsol-optimized structure of BaSr3Hg.

Properties
Total DFT energy (no corrections) ... -35.181 eV/atom
Energy relative to the elements ... -26 kJ/mol of atoms
Space-group type ... No. 221

abc: 6.294 6.294 6.294
angles: 90.00 90.00 90.00
Sites, in units of the cell vectors:
1 Hg 0.000 0.000 0.000
2 Sr 0.000 0.500 0.000
3 Ba 0.500 0.500 0.500
4 Sr 0.500 0.000 0.000
5 Sr 0.000 0.000 0.500

***

The following is a DFT calculation (SCAN) of a PBEsol-optimized structure of BaSrHg.

Properties
Total DFT energy (no corrections) ... -43.647 eV/atom
Energy relative to the elements ... -31 kJ/mol of atoms
Space-group type ... No. 156
Energy above the most stable polymorph in this dataset ... 182 meV/atom

abc: 4.582 5.476 5.476
angles: 120.00 90.00 90.00
Sites, in units of the cell vectors:
1 Sr 0.439 0.667 0.333
2 Ba 0.958 0.000 0.000
3 Hg 0.602 0.333 0.667

***

The following is a DFT calculation (SCAN) of a PBEsol-optimized structure of Ba2SrHg.

Properties
Total DFT energy (no corrections) ... -42.672 eV/atom
Energy relative to the elements ... -28 kJ/mol of atoms
Space-group type ... No. 38

abc: 4.537 4.895 8.851
angles: 106.04 90.00 90.00
Sites, in units of the cell vectors:
1 Hg 0.000 0.156 0.436
2 Ba 0.000 0.948 0.021
3 Sr 0.500 0.297 0.719
4 Ba 0.500 0.600 0.324

***

The following is a DFT calculation (SCAN) of a PBEsol-optimized structure of Ba2SrHg.

Properties
Total DFT energy (no corrections) ... -42.742 eV/atom
Energy relative to the elements ... -34 kJ/mol of atoms
Space-group type ... No. 123

abc: 4.163 4.163 10.391
angles: 90.00 90.02 90.00
Sites, in units of the cell vectors:
1 Hg 0.500 0.500 0.000
2 Sr 0.500 0.500 0.500
3 Ba 0.001 0.000 0.185
4 Ba 0.999 0.000 0.815

***

The following is a DFT calculation (SCAN) of a PBEsol-optimized structure of BaSr2Hg2.

Properties
Total DFT energy (no corrections) ... -44.611 eV/atom
Energy relative to the elements ... -51 kJ/mol of atoms
Space-group type ... No. 127

abc: 3.790 9.332 9.332
angles: 90.00 90.00 90.00
Sites, in units of the cell vectors:
1 Sr 0.000 0.634 0.134
2 Ba 0.000 0.500 0.500
3 Hg 0.500 0.838 0.338
4 Ba 0.000 0.000 0.000
5 Sr 0.000 0.366 0.866
6 Hg 0.500 0.338 0.162
7 Hg 0.500 0.162 0.662
8 Sr 0.000 0.134 0.366
9 Sr 0.000 0.866 0.634
10 Hg 0.500 0.662 0.838

***

The following is a DFT calculation (SCAN) of a PBEsol-optimized structure of BaSr2Hg.

Properties
Total DFT energy (no corrections) ... -38.418 eV/atom
Energy relative to the elements ... -34 kJ/mol of atoms
Space-group type ... No. 123

abc: 3.997 3.997 10.508
angles: 90.00 90.00 90.00
Sites, in units of the cell vectors:
1 Hg 0.500 0.500 0.500
2 Sr 0.000 0.000 0.679
3 Sr 0.000 0.000 0.321
4 Ba 0.500 0.500 0.000

***

The following is a DFT calculation (SCAN) of a PBEsol-optimized structure of BaSr2Hg.

Properties
Total DFT energy (no corrections) ... -38.427 eV/atom
Energy relative to the elements ... -35 kJ/mol of atoms
Space-group type ... No. 99

abc: 4.076 4.076 10.266
angles: 90.00 90.00 90.00
Sites, in units of the cell vectors:
1 Hg 0.500 0.500 0.763
2 Sr 0.500 0.500 0.238
3 Sr 0.000 0.000 0.935
4 Ba 0.000 0.000 0.564

***

The following is a DFT calculation (SCAN) of a PBEsol-optimized structure of Ba2TaHg.

Properties
Total DFT energy (no corrections) ... -52.973 eV/atom
Energy relative to the elements ... 47 kJ/mol of atoms
Space-group type ... No. 99

abc: 3.644 3.644 9.755
angles: 90.00 90.00 90.00
Sites, in units of the cell vectors:
1 Hg 0.000 0.000 0.562
2 Ba 0.000 0.000 0.931
3 Ba 0.500 0.500 0.320
4 Ta 0.500 0.500 0.687

***

The following is a DFT calculation (SCAN) of a PBEsol-optimized structure of BaTa2Hg.

Properties
Total DFT energy (no corrections) ... -59.552 eV/atom
Energy relative to the elements ... 65 kJ/mol of atoms
Space-group type ... No. 8

abc: 3.050 4.983 7.136
angles: 96.35 90.00 107.82
Sites, in units of the cell vectors:
1 Ta 0.011 0.022 0.949
2 Hg 0.730 0.459 0.196
3 Ta 0.274 0.549 0.859
4 Ba 0.485 0.970 0.497

***

The following is a DFT calculation (SCAN) of a PBEsol-optimized structure of BaTa2Hg.

Properties
Total DFT energy (no corrections) ... -59.509 eV/atom
Energy relative to the elements ... 69 kJ/mol of atoms
Space-group type ... No. 12

abc: 3.042 5.768 5.863
angles: 101.59 105.03 90.00
Sites, in units of the cell vectors:
1 Ta 0.720 0.671 0.441
2 Ba 0.500 0.000 0.000
3 Hg 0.000 0.500 0.000
4 Ta 0.280 0.329 0.559

***

The following is a DFT calculation (SCAN) of a PBEsol-optimized structure of Ba2TaHg.

Properties
Total DFT energy (no corrections) ... -52.732 eV/atom
Energy relative to the elements ... 70 kJ/mol of atoms
Space-group type ... No. 119

abc: 5.499 5.499 5.492
angles: 120.04 120.04 90.00
Last column: magnetic moment on the atom in μB.
Sites, in units of the cell vectors:
1 Hg 0.500 0.500 0.000  -0.03
2 Ta 0.250 0.750 0.500  1.85
3 Ba 0.750 0.250 0.500  0.07
4 Ba 0.000 0.000 0.000  0.23

***

The following is a DFT calculation (SCAN) of a PBEsol-optimized structure of BaTa2TiHg.

Properties
Total DFT energy (no corrections) ... -49.979 eV/atom
Energy relative to the elements ... 135 kJ/mol of atoms
Space-group type ... No. 123

abc: 4.770 4.770 5.875
angles: 90.00 90.00 90.00
Last column: magnetic moment on the atom in μB.
Sites, in units of the cell vectors:
1 Ti 0.000 0.000 0.000  -0.01
2 Hg 0.500 0.500 0.500  0.03
3 Ta 0.000 0.500 0.000  0.49
4 Ba 0.000 0.000 0.500  0.07
5 Ta 0.500 0.000 0.000  0.49

***

The following is a DFT calculation (SCAN) of a PBEsol-optimized structure of Ba2TcHg.

Properties
Total DFT energy (no corrections) ... -44.937 eV/atom
Energy relative to the elements ... 62 kJ/mol of atoms
Space-group type ... No. 166
Energy above the most stable polymorph in this dataset ... 368 meV/atom

abc: 3.716 3.716 10.213
angles: 79.52 79.52 60.00
Sites, in units of the cell vectors:
1 Hg 0.500 0.500 0.500
2 Ba 0.740 0.740 0.781
3 Ba 0.260 0.260 0.219
4 Tc 0.000 0.000 0.000

***

The following is a DFT calculation (SCAN) of a PBEsol-optimized structure of BaTc2Hg.

Properties
Total DFT energy (no corrections) ... -44.011 eV/atom
Energy relative to the elements ... 43 kJ/mol of atoms
Space-group type ... No. 12
Energy above the most stable polymorph in this dataset ... 0 meV/atom

abc: 3.806 5.175 5.964
angles: 107.12 90.00 111.58
Sites, in units of the cell vectors:
1 Ba 0.500 0.000 0.000
2 Hg 0.000 0.000 0.500
3 Tc 0.733 0.466 0.596
4 Tc 0.267 0.534 0.404

***

The following is a DFT calculation (SCAN) of a PBEsol-optimized structure of BaTc2Hg.

Properties
Total DFT energy (no corrections) ... -43.173 eV/atom
Energy relative to the elements ... 124 kJ/mol of atoms
Space-group type ... No. 139
Energy above the most stable polymorph in this dataset ... 839 meV/atom

abc: 4.413 4.413 5.189
angles: 115.17 115.17 90.00
Last column: magnetic moment on the atom in μB.
Sites, in units of the cell vectors:
1 Tc 0.750 0.250 0.500  2.26
2 Tc 0.250 0.750 0.500  2.26
3 Hg 0.000 0.000 0.000  -0.03
4 Ba 0.500 0.500 0.000  0.07

***

The following is a DFT calculation (SCAN) of a PBEsol-optimized structure of Ba2TcHg.

Properties
Total DFT energy (no corrections) ... -45.305 eV/atom
Energy relative to the elements ... 27 kJ/mol of atoms
Space-group type ... No. 38
Energy above the most stable polymorph in this dataset ... 0 meV/atom

abc: 4.712 4.786 6.313
angles: 112.27 90.00 90.00
Last column: magnetic moment on the atom in μB.
Sites, in units of the cell vectors:
1 Hg 0.000 0.807 0.613  -0.04
2 Ba 0.500 0.395 0.789  -0.06
3 Ba 0.000 0.104 0.208  -0.07
4 Tc 0.500 0.698 0.395  2.08

***

The following is a DFT calculation (SCAN) of a PBEsol-optimized structure of Ba2TcHg.

Properties
Total DFT energy (no corrections) ... -45.040 eV/atom
Energy relative to the elements ... 52 kJ/mol of atoms
Space-group type ... No. 216
Energy above the most stable polymorph in this dataset ... 264 meV/atom

abc: 5.330 5.330 5.330
angles: 60.00 60.00 60.00
Last column: magnetic moment on the atom in μB.
Sites, in units of the cell vectors:
1 Tc 0.250 0.250 0.250  2.44
2 Hg 0.500 0.500 0.500  -0.06
3 Ba 0.000 0.000 0.000  0.10
4 Ba 0.750 0.750 0.750  -0.06

***

The following is a DFT calculation (SCAN) of a PBEsol-optimized structure of BaTc2Hg.

Properties
Total DFT energy (no corrections) ... -43.266 eV/atom
Energy relative to the elements ... 115 kJ/mol of atoms
Space-group type ... No. 12
Energy above the most stable polymorph in this dataset ... 745 meV/atom

abc: 3.030 5.362 5.731
angles: 117.13 104.10 92.55
Last column: magnetic moment on the atom in μB.
Sites, in units of the cell vectors:
1 Ba 0.000 0.500 0.000  0.02
2 Tc 0.500 0.500 0.500  1.42
3 Tc 0.000 0.000 0.500  1.42
4 Hg 0.500 0.000 0.000  -0.01

***

The following is a DFT calculation (SCAN) of a PBEsol-optimized structure of Ba2TcHg.

Properties
Total DFT energy (no corrections) ... -45.199 eV/atom
Energy relative to the elements ... 37 kJ/mol of atoms
Space-group type ... No. 44
Energy above the most stable polymorph in this dataset ... 106 meV/atom

abc: 3.653 5.516 6.702
angles: 114.30 105.81 90.00
Last column: magnetic moment on the atom in μB.
Sites, in units of the cell vectors:
1 Ba 0.767 0.267 0.535  -0.08
2 Hg 0.547 0.547 0.095  -0.04
3 Tc 0.222 0.722 0.444  1.74
4 Ba 0.964 0.964 0.927  -0.10

***

The following is a DFT calculation (SCAN) of a PBEsol-optimized structure of BaTc2Hg.

Properties
Total DFT energy (no corrections) ... -43.189 eV/atom
Energy relative to the elements ... 123 kJ/mol of atoms
Space-group type ... No. 123
Energy above the most stable polymorph in this dataset ... 823 meV/atom

abc: 2.890 2.890 9.609
angles: 90.00 90.00 89.92
Sites, in units of the cell vectors:
1 Hg 0.500 0.500 0.000
2 Tc 0.000 0.000 0.212
3 Ba 0.500 0.500 0.500
4 Tc 0.000 0.000 0.788

***

The following is a DFT calculation (SCAN) of a PBEsol-optimized structure of Ba2TiHgTe.

Properties
Total DFT energy (no corrections) ... -40.249 eV/atom
Space-group type ... No. 123
ΔE_f (raw) ... -140 meV/atom

abc: 5.152 6.056 6.056
angles: 90.00 90.00 90.00
Last column: magnetic moment on the atom in μB.
Sites, in units of the cell vectors:
1 Hg 0.500 0.500 0.500  -0.01
2 Ti 0.000 0.000 0.000  1.60
3 Te 0.500 0.000 0.000  -0.07
4 Ba 0.000 0.000 0.500  0.15
5 Ba 0.000 0.500 0.000  0.15

***

The following is a DFT calculation (SCAN) of a PBEsol-optimized structure of BaTiHg3.

Properties
Total DFT energy (no corrections) ... -52.284 eV/atom
Energy relative to the elements ... -26 kJ/mol of atoms
Space-group type ... No. 221

abc: 5.299 5.299 5.299
angles: 90.00 90.00 90.00
Last column: magnetic moment on the atom in μB.
Sites, in units of the cell vectors:
1 Hg 0.500 0.000 0.000  0.12
2 Ba 0.500 0.500 0.500  0.06
3 Hg 0.000 0.000 0.500  0.12
4 Ti 0.000 0.000 0.000  1.45
5 Hg 0.000 0.500 0.000  0.12

***

The following is a DFT calculation (SCAN) of a PBEsol-optimized structure of BaTl2Hg2.

Properties
Total DFT energy (no corrections) ... -64.510 eV/atom
Energy relative to the elements ... -38 kJ/mol of atoms
Space-group type ... No. 139

abc: 5.007 5.007 6.952
angles: 111.11 111.11 90.00
Sites, in units of the cell vectors:
1 Hg 0.750 0.250 0.500
2 Tl 0.378 0.378 0.756
3 Hg 0.250 0.750 0.500
4 Ba 0.000 0.000 0.000
5 Tl 0.622 0.622 0.244

***

The following is a DFT calculation (SCAN) of a PBEsol-optimized structure of BaTlHg4.

Properties
Total DFT energy (no corrections) ... -64.441 eV/atom
Energy relative to the elements ... -33 kJ/mol of atoms
Space-group type ... No. 216

abc: 6.127 6.127 6.127
angles: 60.00 60.00 60.00
Sites, in units of the cell vectors:
1 Hg 0.873 0.376 0.376
2 Hg 0.376 0.376 0.873
3 Hg 0.376 0.376 0.376
4 Hg 0.376 0.873 0.376
5 Tl 0.750 0.750 0.750
6 Ba 0.000 0.000 0.000

***

The following is a DFT calculation (SCAN) of a PBEsol-optimized structure of BaTl2Hg2.

Properties
Total DFT energy (no corrections) ... -64.551 eV/atom
Energy relative to the elements ... -42 kJ/mol of atoms
Space-group type ... No. 136

abc: 5.141 10.596 10.596
angles: 90.00 90.00 90.00
Sites, in units of the cell vectors:
1 Hg 0.000 0.814 0.814
2 Tl 0.000 0.529 0.858
3 Tl 0.500 0.358 0.971
4 Hg 0.000 0.596 0.404
5 Hg 0.500 0.904 0.904
6 Tl 0.500 0.029 0.642
7 Tl 0.500 0.642 0.029
8 Ba 0.000 0.852 0.148
9 Ba 0.500 0.352 0.352
10 Ba 0.500 0.648 0.648
11 Tl 0.000 0.142 0.471
12 Hg 0.500 0.096 0.096
13 Hg 0.500 0.314 0.686
14 Tl 0.500 0.971 0.358
15 Tl 0.000 0.471 0.142
16 Tl 0.000 0.858 0.529
17 Hg 0.000 0.404 0.596
18 Hg 0.000 0.186 0.186
19 Hg 0.500 0.686 0.314
20 Ba 0.000 0.148 0.852

***

The following is a DFT calculation (SCAN) of a PBEsol-optimized structure of BaTlHg.

Properties
Total DFT energy (no corrections) ... -60.625 eV/atom
Energy relative to the elements ... -58 kJ/mol of atoms
Space-group type ... No. 187
Energy above the most stable polymorph in this dataset ... 0 meV/atom

abc: 4.064 5.201 5.201
angles: 120.00 90.00 90.00
Sites, in units of the cell vectors:
1 Ba 0.000 0.000 0.000
2 Hg 0.500 0.667 0.333
3 Tl 0.500 0.333 0.667

***

The following is a DFT calculation (SCAN) of a PBEsol-optimized structure of BaTlHg.

Properties
Total DFT energy (no corrections) ... -60.501 eV/atom
Energy relative to the elements ... -46 kJ/mol of atoms
Space-group type ... No. 107
Energy above the most stable polymorph in this dataset ... 124 meV/atom

abc: 4.004 4.004 6.533
angles: 107.84 107.84 90.00
Sites, in units of the cell vectors:
1 Tl 0.686 0.686 0.372
2 Hg 0.319 0.319 0.639
3 Ba 0.995 0.995 0.989

***

The following is a DFT calculation (SCAN) of a PBEsol-optimized structure of Ba2TlHg2.

Properties
Total DFT energy (no corrections) ... -58.129 eV/atom
Energy relative to the elements ... -55 kJ/mol of atoms
Space-group type ... No. 127

abc: 4.434 8.748 8.748
angles: 90.00 90.00 90.00
Sites, in units of the cell vectors:
1 Hg 0.000 0.622 0.122
2 Tl 0.000 0.000 0.000
3 Tl 0.000 0.500 0.500
4 Ba 0.500 0.322 0.178
5 Hg 0.000 0.878 0.622
6 Ba 0.500 0.178 0.678
7 Hg 0.000 0.122 0.378
8 Ba 0.500 0.822 0.322
9 Ba 0.500 0.678 0.822
10 Hg 0.000 0.378 0.878

***

| no. | magnetization (μB/f.u.) | ρ (g/cm³) | calculated volume (Å³ per atom) |
| --- | --- | --- | --- |
| 1 | 0.0 | 5.3 | 44.05 |
| 2 | 0.2 | 4.0 | 49.87 |
| 3 | 0.0 | 5.9 | 39.67 |
| 4 | 0.2 | 4.9 | 47.22 |
| 5 | 0.0 | 5.2 | 45.01 |
| 6 | 0.0 | 7.2 | 33.00 |
| 7 | 0.1 | 5.1 | 41.96 |
| 8 | 0.0 | 5.0 | 42.63 |
| 9 | 0.0 | 8.4 | 32.39 |
| 10 | 0.0 | 11.3 | 25.64 |
| 11 | 0.0 | 12.0 | 24.29 |
| 12 | 3.3 | 9.3 | 29.31 |
| 13 | 1.8 | 9.3 | 26.74 |
| 14 | 0.0 | 8.0 | 29.85 |
| 15 | 0.0 | 8.6 | 25.91 |
| 16 | 4.7 | 11.0 | 20.19 |
| 17 | 1.8 | 7.2 | 32.94 |
| 18 | 2.5 | 8.9 | 26.77 |
| 19 | 3.0 | 11.2 | 19.77 |
| 20 | 1.3 | 8.1 | 29.37 |
| 21 | 0.0 | 11.0 | 20.07 |
| 22 | 2.6 | 5.7 | 37.80 |
| 23 | 2.7 | 8.8 | 29.76 |
| 24 | 0.0 | 10.5 | 30.00 |
| 25 | 0.0 | 11.7 | 27.11 |
| 26 | 0.0 | 10.9 | 28.86 |
| 27 | 0.0 | 9.5 | 31.73 |
| 28 | 0.0 | 9.5 | 31.47 |
| 29 | 0.0 | 8.6 | 33.94 |